--- one ---
The following is a DFT calculation (GGA-PBE) of TaPPt3 after structural relaxation.

It has space group Pm-3m (No. 221), with a = 4.866 Å, b = 4.866 Å, c = 4.866 Å, α = 90.00°, β = 90.00° and γ = 90.00°. The distinct sites, in fractional coordinates, are Ta at (0.000, 0.000, 0.000), P at (0.500, 0.500, 0.500) and Pt at (0.000, 0.000, 0.500).

The calculation puts the total magnetic moment at 0.00 μB/f.u.

--- two ---
The following is a DFT calculation (GGA-PBE) of TaPPt3 after structural relaxation.

It has space group Pm-3m (No. 221), with a = 4.487 Å, b = 4.487 Å, c = 4.487 Å, α = 90.00°, β = 90.00° and γ = 90.00°. The distinct sites, in fractional coordinates, are Ta at (0.000, 0.000, 0.000), P at (0.500, 0.500, 0.500) and Pt at (0.000, 0.500, 0.500).

The calculation puts the total magnetic moment at 1.42 μB/f.u.

What should be chosen as the least stable of them? Choose one.

--- one ---
The following is a DFT calculation (GGA-PBE) of TaP3Pt after structural relaxation.

It has space group Pm-3m (No. 221), with a = 4.744 Å, b = 4.744 Å, c = 4.744 Å, α = 90.00°, β = 90.00° and γ = 90.00°. The distinct sites, in fractional coordinates, are Ta at (0.000, 0.000, 0.000), P at (0.000, 0.000, 0.500) and Pt at (0.500, 0.500, 0.500).

The calculation puts the total magnetic moment at 0.00 μB/f.u.

--- two ---
The following is a DFT calculation (GGA-PBE) of TaP3Pt after structural relaxation.

It has space group Pm-3m (No. 221), with a = 4.596 Å, b = 4.596 Å, c = 4.596 Å, α = 90.00°, β = 90.00° and γ = 90.00°. The distinct sites, in fractional coordinates, are Ta at (0.000, 0.000, 0.000), P at (0.000, 0.500, 0.500) and Pt at (0.500, 0.500, 0.500).

The calculation puts the total magnetic moment at 0.01 μB/f.u.

What should be chosen as the least stable of them? Choose two.

--- one ---
The following is a DFT calculation (GGA-PBE) of TcPPt after structural relaxation.

It has space group F-43m (No. 216), with a = 5.861 Å, b = 5.861 Å, c = 5.861 Å, α = 90.00°, β = 90.00° and γ = 90.00°. The distinct sites, in fractional coordinates, are Tc at (0.000, 0.000, 0.000), P at (0.250, 0.250, 0.250) and Pt at (0.250, 0.250, 0.750).

The calculation puts the total magnetic moment at 0.00 μB/f.u.

--- two ---
The following is a DFT calculation (GGA-PBE) of TcPPt after structural relaxation.

It has space group P3m1 (No. 156), with a = 3.9448 Å, b = 3.9448 Å, c = 3.3081 Å, α = 90.00°, β = 90.00° and γ = 120.00°. The distinct sites, in fractional coordinates, are Tc at (0.0000, 0.0000, 0.0000), P at (0.3333, 0.6667, 0.1651) and Pt at (0.6667, 0.3333, 0.4983).

The calculation puts the total magnetic moment at 0.00 μB/f.u.

What should be chosen as the least stable of them? Choose one.

--- one ---
The following is a DFT calculation (GGA-PBE) of TcPPt after structural relaxation.

It has space group I4mm (No. 107), with a = 2.968 Å, b = 2.968 Å, c = 9.686 Å, α = 90.00°, β = 90.00° and γ = 90.00°. The distinct sites, in fractional coordinates, are Tc at (0.000, 0.000, 0.000), P at (0.000, 0.000, 0.378) and Pt at (0.000, 0.000, 0.706).

The calculation puts the total magnetic moment at 0.00 μB/f.u.

--- two ---
The following is a DFT calculation (GGA-PBE) of TcPPt after structural relaxation.

It has space group P-3m1 (No. 164), with a = 3.7341 Å, b = 3.7341 Å, c = 8.2166 Å, α = 90.00°, β = 90.00° and γ = 120.00°. The distinct sites, in fractional coordinates, are Tc at (0.3333, 0.6667, 0.2056), P at (0.3333, 0.6667, 0.9084) and Pt at (0.3333, 0.6667, 0.5947).

The calculation puts the total magnetic moment at 0.00 μB/f.u.

What should be chosen as the least stable of them? Choose two.

--- one ---
The following is a DFT calculation (GGA-PBE) of TcPPt after structural relaxation.

It has space group F-43m (No. 216), with a = 5.655 Å, b = 5.655 Å, c = 5.655 Å, α = 90.00°, β = 90.00° and γ = 90.00°. The distinct sites, in fractional coordinates, are Tc at (0.000, 0.000, 0.000), P at (0.250, 0.250, 0.250) and Pt at (0.000, 0.000, 0.500).

The calculation puts the total magnetic moment at 0.00 μB/f.u.

--- two ---
The following is a DFT calculation (GGA-PBE) of TcPPt after structural relaxation.

It has space group Fmm2 (No. 42), with a = 3.104 Å, b = 4.836 Å, c = 11.909 Å, α = 90.00°, β = 90.00° and γ = 90.00°. The distinct sites, in fractional coordinates, are Tc at (0.000, 0.000, 0.000), P at (0.000, 0.000, 0.642) and Pt at (0.000, 0.000, 0.299).

The calculation puts the total magnetic moment at 0.00 μB/f.u.

What should be chosen as the least stable of them? Choose two.

--- one ---
The following is a DFT calculation (GGA-PBE) of TcPPt3 after structural relaxation.

It has space group Pm-3m (No. 221), with a = 4.507 Å, b = 4.507 Å, c = 4.507 Å, α = 90.00°, β = 90.00° and γ = 90.00°. The distinct sites, in fractional coordinates, are Tc at (0.000, 0.000, 0.000), P at (0.500, 0.500, 0.500) and Pt at (0.000, 0.500, 0.500).

The calculation puts the total magnetic moment at 4.18 μB/f.u.

--- two ---
The following is a DFT calculation (GGA-PBE) of TcPPt3 after structural relaxation.

It has space group Pm-3m (No. 221), with a = 4.776 Å, b = 4.776 Å, c = 4.776 Å, α = 90.00°, β = 90.00° and γ = 90.00°. The distinct sites, in fractional coordinates, are Tc at (0.000, 0.000, 0.000), P at (0.500, 0.500, 0.500) and Pt at (0.000, 0.000, 0.500).

The calculation puts the total magnetic moment at 0.00 μB/f.u.

What should be chosen as the least stable of them? Choose two.

--- one ---
The following is a DFT calculation (GGA-PBE) of Tc3PPt after structural relaxation.

It has space group Pm-3m (No. 221), with a = 4.742 Å, b = 4.742 Å, c = 4.742 Å, α = 90.00°, β = 90.00° and γ = 90.00°. The distinct sites, in fractional coordinates, are Tc at (0.000, 0.000, 0.500), P at (0.500, 0.500, 0.500) and Pt at (0.000, 0.000, 0.000).

The calculation puts the total magnetic moment at 2.03 μB/f.u.

--- two ---
The following is a DFT calculation (GGA-PBE) of Tc3PPt after structural relaxation.

It has space group Pm-3m (No. 221), with a = 4.329 Å, b = 4.329 Å, c = 4.329 Å, α = 90.00°, β = 90.00° and γ = 90.00°. The distinct sites, in fractional coordinates, are Tc at (0.000, 0.000, 0.500), P at (0.000, 0.000, 0.000) and Pt at (0.500, 0.500, 0.500).

The calculation puts the total magnetic moment at 0.00 μB/f.u.

What should be chosen as the least stable of them? Choose one.

--- one ---
The following is a DFT calculation (GGA-PBE) of Te3PPt after structural relaxation.

It has space group Pm-3m (No. 221), with a = 5.118 Å, b = 5.118 Å, c = 5.118 Å, α = 90.00°, β = 90.00° and γ = 90.00°. The distinct sites, in fractional coordinates, are Te at (0.000, 0.000, 0.500), P at (0.000, 0.000, 0.000) and Pt at (0.500, 0.500, 0.500).

The calculation puts the total magnetic moment at 0.00 μB/f.u.

--- two ---
The following is a DFT calculation (GGA-PBE) of Te3PPt after structural relaxation.

It has space group Pm-3m (No. 221), with a = 5.266 Å, b = 5.266 Å, c = 5.266 Å, α = 90.00°, β = 90.00° and γ = 90.00°. The distinct sites, in fractional coordinates, are Te at (0.000, 0.000, 0.500), P at (0.500, 0.500, 0.500) and Pt at (0.000, 0.000, 0.000).

The calculation puts the total magnetic moment at 0.00 μB/f.u.

What should be chosen as the least stable of them? Choose one.

--- one ---
The following is a DFT calculation (GGA-PBE) of TiP3Pt after structural relaxation.

It has space group Pm-3m (No. 221), with a = 4.605 Å, b = 4.605 Å, c = 4.605 Å, α = 90.00°, β = 90.00° and γ = 90.00°. The distinct sites, in fractional coordinates, are Ti at (0.000, 0.000, 0.000), P at (0.000, 0.000, 0.500) and Pt at (0.500, 0.500, 0.500).

The calculation puts the total magnetic moment at 0.00 μB/f.u.

--- two ---
The following is a DFT calculation (GGA-PBE) of TiP3Pt after structural relaxation.

It has space group Pm-3m (No. 221), with a = 4.654 Å, b = 4.654 Å, c = 4.654 Å, α = 90.00°, β = 90.00° and γ = 90.00°. The distinct sites, in fractional coordinates, are Ti at (0.000, 0.000, 0.000), P at (0.000, 0.500, 0.500) and Pt at (0.500, 0.500, 0.500).

The calculation puts the total magnetic moment at 0.00 μB/f.u.

What should be chosen as the least stable of them? Choose two.

--- one ---
The following is a DFT calculation (GGA-PBE) of TlP2Pt after structural relaxation.

It has space group P2/m (No. 10), with a = 4.306 Å, b = 3.797 Å, c = 5.470 Å, α = 90.00°, β = 103.24° and γ = 90.00°. The distinct sites, in fractional coordinates, are Tl at (0.000, 0.000, 0.000), P at (0.236, 0.500, 0.624) and Pt at (0.500, 0.000, 0.500).

The calculation puts the total magnetic moment at 0.00 μB/f.u.

--- two ---
The following is a DFT calculation (GGA-PBE) of TlP2Pt after structural relaxation.

It has space group Pm (No. 6), with a = 4.513 Å, b = 3.355 Å, c = 6.158 Å, α = 90.00°, β = 96.89° and γ = 90.00°. The distinct sites, in fractional coordinates, are Tl at (0.000, 0.000, 0.000), P at (0.346, 0.500, 0.531), P at (0.533, 0.000, 0.356) and Pt at (0.868, 0.500, 0.618).

The calculation puts the total magnetic moment at 0.00 μB/f.u.

What should be chosen as the least stable of them? Choose two.

--- one ---
The following is a DFT calculation (GGA-PBE) of TlP2Pt after structural relaxation.

It has space group Cmmm (No. 65), with a = 5.353 Å, b = 7.443 Å, c = 3.722 Å, α = 90.00°, β = 90.00° and γ = 90.00°. The distinct sites, in fractional coordinates, are Tl at (0.000, 0.000, 0.000), P at (0.250, 0.250, 0.500) and Pt at (0.000, 0.500, 0.000).

The calculation puts the total magnetic moment at 0.00 μB/f.u.

--- two ---
The following is a DFT calculation (GGA-PBE) of TlP2Pt after structural relaxation.

It has space group R3m (No. 160, hexagonal axes), with a = 3.4592 Å, b = 3.4592 Å, c = 21.3764 Å, α = 90.00°, β = 90.00° and γ = 120.00°. The distinct sites, in fractional coordinates, are Tl at (0.0000, 0.0000, 0.0000), P at (0.0000, 0.0000, 0.2296), P at (0.0000, 0.0000, 0.5016) and Pt at (0.0000, 0.0000, 0.7692).

The calculation puts the total magnetic moment at 0.00 μB/f.u.

What should be chosen as the least stable of them? Choose one.

--- one ---
The following is a DFT calculation (GGA-PBE) of TlP2Pt after structural relaxation.

It has space group F-43m (No. 216), with a = 6.616 Å, b = 6.616 Å, c = 6.616 Å, α = 90.00°, β = 90.00° and γ = 90.00°. The distinct sites, in fractional coordinates, are Tl at (0.000, 0.000, 0.000), P at (0.000, 0.000, 0.500), P at (0.250, 0.250, 0.250) and Pt at (0.250, 0.250, 0.750).

The calculation puts the total magnetic moment at 0.00 μB/f.u.

--- two ---
The following is a DFT calculation (GGA-PBE) of TlP2Pt after structural relaxation.

It has space group P4/mmm (No. 123), with a = 3.845 Å, b = 3.845 Å, c = 5.180 Å, α = 90.00°, β = 90.00° and γ = 90.00°. The distinct sites, in fractional coordinates, are Tl at (0.000, 0.000, 0.000), P at (0.000, 0.000, 0.500), P at (0.500, 0.500, 0.500) and Pt at (0.500, 0.500, 0.000).

The calculation puts the total magnetic moment at 0.00 μB/f.u.

--- three ---
The following is a DFT calculation (GGA-PBE) of TlP2Pt after structural relaxation.

It has space group Imm2 (No. 44), with a = 3.201 Å, b = 6.241 Å, c = 8.404 Å, α = 90.00°, β = 90.00° and γ = 90.00°. The distinct sites, in fractional coordinates, are Tl at (0.000, 0.000, 0.000), P at (0.000, 0.000, 0.496), P at (0.000, 0.500, 0.819) and Pt at (0.000, 0.500, 0.199).

The calculation puts the total magnetic moment at 0.00 μB/f.u.

What should be chosen as the least stable of them? Choose one.